Record 1
Mg14MnCr after structural relaxation, computed with GGA-PBE.

Properties
The value obtained for the total energy is -2.4616 eV per atom. The value obtained for the polymorph energy (0 for the lowest one) is 0.000 eV/atom.

abc: 6.2804 6.2804 10.0831
angles: 90.00 90.00 120.00
With the nearest neighbours (Å) after each atom.
Element x y z (fractional)
Mg 0.6764 0.8382 0.7520  10 Mg 3.05-3.23, 1 Mn 3.06, 1 Cr 3.09
Mg 0.1618 0.8382 0.7520  10 Mg 3.05-3.23, 1 Mn 3.06, 1 Cr 3.09
Mg 0.6667 0.3333 0.2493  12 Mg 3.10-3.14
Mg 0.1618 0.3236 0.2480  10 Mg 3.05-3.23, 1 Mn 3.06, 1 Cr 3.09
Mg 0.4995 0.5005 0.0000  10 Mg 3.10-3.15, 2 Mn 3.14
Mg 0.4994 0.5006 0.5000  10 Mg 3.11-3.15, 2 Cr 3.14
Mg 0.0012 0.5006 0.5000  10 Mg 3.11-3.15, 2 Cr 3.14
Mg 0.1618 0.3236 0.7520  10 Mg 3.05-3.23, 1 Mn 3.06, 1 Cr 3.09
Mg 0.6667 0.3333 0.7507  12 Mg 3.10-3.14
Mg 0.4994 0.9988 0.5000  10 Mg 3.11-3.15, 2 Cr 3.14
Mg 0.6764 0.8382 0.2480  10 Mg 3.05-3.23, 1 Mn 3.06, 1 Cr 3.09
Mg 0.1618 0.8382 0.2480  10 Mg 3.05-3.23, 1 Mn 3.06, 1 Cr 3.09
Mg 0.0010 0.5005 0.0000  10 Mg 3.10-3.15, 2 Mn 3.14
Mg 0.4995 0.9990 0.0000  10 Mg 3.10-3.15, 2 Mn 3.14
Cr 0.0000 0.0000 0.5000  12 Mg 3.09-3.14
Mn 0.0000 0.0000 0.0000  12 Mg 3.06-3.14

=====

Record 2
Mg6MnCr after structural relaxation, computed with GGA-PBE.

Properties
The value obtained for the total energy is -3.3327 eV per atom. The value obtained for the polymorph energy (0 for the lowest one) is 0.000 eV/atom.

abc: 6.1424 6.1424 4.9319
angles: 90.00 90.00 119.97
With the nearest neighbours (Å) after each atom.
Element x y z (fractional)
Mg 0.5791 0.4209 0.0000  8 Mg 2.99-3.15, 2 Cr 3.01, 2 Mn 3.07
Mg 0.4070 0.0786 0.5000  8 Mg 2.98-3.16, 2 Mn 3.01, 2 Cr 3.07
Mg 0.5792 0.9082 0.0000  8 Mg 2.99-3.15, 2 Cr 3.01, 2 Mn 3.07
Mg 0.0918 0.4208 0.0000  8 Mg 2.99-3.15, 2 Cr 3.01, 2 Mn 3.07
Mg 0.9215 0.0785 0.5000  8 Mg 2.98-3.16, 2 Mn 3.01, 2 Cr 3.07
Mg 0.9214 0.5930 0.5000  8 Mg 2.98-3.16, 2 Mn 3.01, 2 Cr 3.07
Mn 0.0836 0.9164 0.0000  12 Mg 3.01-3.07
Cr 0.4165 0.5835 0.5000  12 Mg 3.01-3.07

=====

Record 3
MgMn3Cr after structural relaxation, computed with GGA-PBE.

Properties
The value obtained for the total energy is -6.9413 eV per atom. The value obtained for the polymorph energy (0 for the lowest one) is 0.000 eV/atom.

abc: 4.3551 4.3551 4.3551
angles: 90.00 90.00 90.00
With the nearest neighbours (Å) after each atom.
Element x y z (fractional)
Mn 0.0000 0.5000 0.0000  2 Cr 2.18
Mn 0.0000 0.0000 0.5000  2 Cr 2.18
Mn 0.5000 0.0000 0.0000  2 Cr 2.18
Mg 0.5000 0.5000 0.5000  12 Mn 3.08
Cr 0.0000 0.0000 0.0000  6 Mn 2.18

=====

Record 4
MgMnCr3 after structural relaxation, computed with GGA-PBE.

Properties
The value obtained for the total energy is -5.4315 eV per atom. The value obtained for the polymorph energy (0 for the lowest one) is 1.572 eV/atom.

abc: 4.2453 4.2453 4.2453
angles: 90.00 90.00 90.00
With the nearest neighbours (Å) after each atom.
Element x y z (fractional)
Cr 0.0000 0.0000 0.5000  2 Mg 2.12
Cr 0.0000 0.5000 0.0000  2 Mg 2.12
Cr 0.5000 0.0000 0.0000  2 Mg 2.12
Mg 0.0000 0.0000 0.0000  6 Cr 2.12
Mn 0.5000 0.5000 0.5000  12 Cr 3.00

=====

Record 5
Mg3MnCr after structural relaxation, computed with GGA-PBE.

Properties
The value obtained for the total energy is -2.9510 eV per atom. The value obtained for the polymorph energy (0 for the lowest one) is 0.782 eV/atom.

abc: 4.8735 4.8735 4.8735
angles: 90.00 90.00 90.00
With the nearest neighbours (Å) after each atom.
Element x y z (fractional)
Mg 0.0000 0.0000 0.5000  2 Cr 2.44
Mg 0.5000 0.0000 0.0000  2 Cr 2.44
Mg 0.0000 0.5000 0.0000  2 Cr 2.44
Cr 0.0000 0.0000 0.0000  6 Mg 2.44
Mn 0.5000 0.5000 0.5000  12 Mg 3.45

=====

Record 6
MgMnCr3 after structural relaxation, computed with GGA-PBE.

Properties
The value obtained for the total energy is -7.0038 eV per atom. The value obtained for the polymorph energy (0 for the lowest one) is 0.000 eV/atom.

abc: 4.4508 4.4508 4.4508
angles: 90.00 90.00 90.00
With the nearest neighbours (Å) after each atom.
Element x y z (fractional)
Mn 0.0000 0.0000 0.0000  6 Cr 2.23
Cr 0.5000 0.0000 0.0000  2 Mn 2.23
Cr 0.0000 0.0000 0.5000  2 Mn 2.23
Cr 0.0000 0.5000 0.0000  2 Mn 2.23
Mg 0.5000 0.5000 0.5000  12 Cr 3.15

=====

Record 7
MgMnNbCr2 after structural relaxation, computed with GGA-PBE.

Properties
The value obtained for the total energy is -6.9869 eV per atom. The value obtained for the polymorph energy (0 for the lowest one) is 0.000 eV/atom.

abc: 4.2663 4.2663 4.6060
angles: 90.00 90.00 90.00
With the nearest neighbours (Å) after each atom.
Element x y z (fractional)
Mg 0.0000 0.0000 0.5000  2 Mn 2.30
Cr 0.5000 0.0000 0.0000  2 Mn 2.13
Cr 0.0000 0.5000 0.0000  2 Mn 2.13
Mn 0.0000 0.0000 0.0000  4 Cr 2.13, 2 Mg 2.30
Nb 0.5000 0.5000 0.5000  4 Mg 3.02, 8 Cr 3.14

=====

Number 1: formation energy 1.7 eV/f.u.. Number 2: formation energy 1.7 eV/f.u.. Number 3: formation energy 4.0 eV/f.u.. Number 4: formation energy 12.5 eV/f.u.. Number 5: formation energy 8.8 eV/f.u.. Number 6: formation energy 4.6 eV/f.u.. Number 7: formation energy 5.1 eV/f.u..